Entry from the Alexandria database: a relaxed HfCoPt6 crystal (PBE).

Cell: 5.621 5.621 3.951 Å, 90.00 90.00 90.00°
Space group P4/mmm (No. 123)
Asymmetric unit:
Hf: 0.000 0.000 0.000
Co: 0.500 0.500 0.000
Pt: 0.000 0.500 0.000
Pt: 0.254 0.254 0.500

## Properties
E, eV per atom: -7.233
Crystal system: tetragonal
Energy relative to the elements, eV/atom: -0.570